No. 1
Compound: PrTc4Ge2
Source: OQMD
Functional: GGA-PBE
Structure: relaxed

Cell lengths 7.515, 7.515, 4.155 Å; angles 90.00, 90.00, 147.69 degrees
Element x y z (fractional)
Pr: 0.000 0.000 0.000
Tc: 0.196 0.804 0.500
Tc: 0.301 0.699 0.000
Tc: 0.699 0.301 0.000
Tc: 0.804 0.196 0.500
Ge: 0.411 0.589 0.500
Ge: 0.589 0.411 0.500

Properties
V	17.915	Å³ per atom
calculated total energy	-58.3	eV for the cell shown
space-group type	No. 65

=====

No. 2
Compound: PrTc2Ge2
Source: OQMD
Functional: GGA-PBE
Structure: relaxed

Cell lengths 5.825, 5.810, 4.496 Å; angles 67.45, 67.09, 45.46 degrees
Element x y z (fractional)
Pr: 0.000 0.000 0.000
Tc: 0.382 0.382 0.618
Tc: 0.618 0.618 0.382
Ge: 0.250 0.250 0.250
Ge: 0.750 0.750 0.750

Properties
V	19.697	Å³ per atom
calculated total energy	-36.1	eV for the cell shown
space-group type	No. 69

=====

No. 3
Compound: PrTc2Ge2
Source: OQMD
Functional: GGA-PBE
Structure: relaxed

Cell lengths 11.259, 11.259, 4.219 Å; angles 100.57, 100.57, 21.46 degrees
Element x y z (fractional)
Pr: 0.161 0.161 0.399
Pr: 0.839 0.839 0.601
Tc: 0.034 0.034 0.783
Tc: 0.464 0.464 0.715
Tc: 0.536 0.536 0.285
Tc: 0.966 0.966 0.217
Ge: 0.279 0.279 0.075
Ge: 0.397 0.397 0.147
Ge: 0.603 0.603 0.853
Ge: 0.721 0.721 0.925

Properties
V	19.223	Å³ per atom
calculated total energy	-74.3	eV for the cell shown
space-group type	No. 12